*P*
First-principles (PBE-GGA) data for a relaxed LaNd2Sm2 crystal, as listed in Alexandria.

size of the total moment = 0.00 μB per formula unit

CIF file:
```
data_LaNd2Sm2
_chemical_formula_sum 'La2 Nd4 Sm4'
_cell_length_a 9.652
_cell_length_b 9.652
_cell_length_c 3.863
_cell_angle_alpha 90.00
_cell_angle_beta 90.00
_cell_angle_gamma 90.00
_space_group_name_H-M_alt 'P 1'
_space_group_IT_number 1
loop_
_space_group_symop_operation_xyz
'x,y,z'
loop_
_atom_site_label
_atom_site_type_symbol
_atom_site_fract_x
_atom_site_fract_y
_atom_site_fract_z
La1 La 0.000 0.000 0.000
La2 La 0.500 0.500 0.000
Nd1 Nd 0.128 0.372 0.000
Nd2 Nd 0.372 0.872 0.000
Nd3 Nd 0.628 0.128 0.000
Nd4 Nd 0.872 0.628 0.000
Sm1 Sm 0.170 0.670 0.500
Sm2 Sm 0.330 0.170 0.500
Sm3 Sm 0.670 0.830 0.500
Sm4 Sm 0.830 0.330 0.500
```


*Q*
First-principles (PBE-GGA) data for a relaxed LaNd2Sm2 crystal, as listed in Alexandria.

size of the total moment = 0.00 μB per formula unit

CIF file:
```
data_LaNd2Sm2
_chemical_formula_sum 'La2 Nd4 Sm4'
_cell_length_a 6.406
_cell_length_b 6.406
_cell_length_c 9.475
_cell_angle_alpha 107.08
_cell_angle_beta 107.08
_cell_angle_gamma 78.80
_space_group_name_H-M_alt 'P 1'
_space_group_IT_number 1
loop_
_space_group_symop_operation_xyz
'x,y,z'
loop_
_atom_site_label
_atom_site_type_symbol
_atom_site_fract_x
_atom_site_fract_y
_atom_site_fract_z
La1 La 0.220 0.780 0.750
La2 La 0.780 0.220 0.250
Nd1 Nd 0.053 0.715 0.352
Nd2 Nd 0.285 0.947 0.148
Nd3 Nd 0.715 0.053 0.852
Nd4 Nd 0.947 0.285 0.648
Sm1 Sm 0.272 0.398 0.023
Sm2 Sm 0.398 0.272 0.523
Sm3 Sm 0.602 0.728 0.477
Sm4 Sm 0.728 0.602 0.977
```


Which of them is the least stable? Correct choice: *Q*.


*P*
First-principles (PBE-GGA) data for a relaxed LaNd6Sm8 crystal, as listed in Alexandria.

size of the total moment = 0.00 μB per formula unit

CIF file:
```
data_LaNd6Sm8
_chemical_formula_sum 'La1 Nd6 Sm8'
_cell_length_a 9.662
_cell_length_b 9.662
_cell_length_c 6.650
_cell_angle_alpha 90.00
_cell_angle_beta 90.00
_cell_angle_gamma 120.00
_space_group_name_H-M_alt 'P 1'
_space_group_IT_number 1
loop_
_space_group_symop_operation_xyz
'x,y,z'
loop_
_atom_site_label
_atom_site_type_symbol
_atom_site_fract_x
_atom_site_fract_y
_atom_site_fract_z
La1 La 0.000 0.000 0.000
Nd1 Nd 0.083 0.676 0.108
Nd2 Nd 0.324 0.408 0.108
Nd3 Nd 0.408 0.083 0.892
Nd4 Nd 0.592 0.917 0.108
Nd5 Nd 0.676 0.592 0.892
Nd6 Nd 0.917 0.324 0.892
Sm1 Sm 0.011 0.319 0.390
Sm2 Sm 0.308 0.989 0.390
Sm3 Sm 0.319 0.308 0.610
Sm4 Sm 0.333 0.667 0.647
Sm5 Sm 0.667 0.333 0.353
Sm6 Sm 0.681 0.692 0.390
Sm7 Sm 0.692 0.011 0.610
Sm8 Sm 0.989 0.681 0.610
```


*Q*
First-principles (PBE-GGA) data for a relaxed LaNd6Sm8 crystal, as listed in Alexandria.

size of the total moment = 0.00 μB per formula unit

CIF file:
```
data_LaNd6Sm8
_chemical_formula_sum 'La1 Nd6 Sm8'
_cell_length_a 8.722
_cell_length_b 8.722
_cell_length_c 8.722
_cell_angle_alpha 65.58
_cell_angle_beta 65.58
_cell_angle_gamma 65.58
_space_group_name_H-M_alt 'P 1'
_space_group_IT_number 1
loop_
_space_group_symop_operation_xyz
'x,y,z'
loop_
_atom_site_label
_atom_site_type_symbol
_atom_site_fract_x
_atom_site_fract_y
_atom_site_fract_z
La1 La 0.000 0.000 0.000
Nd1 Nd 0.106 0.555 0.266
Nd2 Nd 0.266 0.106 0.555
Nd3 Nd 0.445 0.734 0.894
Nd4 Nd 0.555 0.266 0.106
Nd5 Nd 0.734 0.894 0.445
Nd6 Nd 0.894 0.445 0.734
Sm1 Sm 0.083 0.772 0.653
Sm2 Sm 0.228 0.347 0.917
Sm3 Sm 0.347 0.917 0.228
Sm4 Sm 0.429 0.429 0.429
Sm5 Sm 0.571 0.571 0.571
Sm6 Sm 0.653 0.083 0.772
Sm7 Sm 0.772 0.653 0.083
Sm8 Sm 0.917 0.228 0.347
```


Which of them is the least stable? Correct choice: *P*.


*P*
First-principles (PBE-GGA) data for a relaxed La3Nd7Sm crystal, as listed in Alexandria.

size of the total moment = 0.00 μB per formula unit

CIF file:
```
data_La3Nd7Sm
_chemical_formula_sum 'La3 Nd7 Sm1'
_cell_length_a 7.911
_cell_length_b 7.911
_cell_length_c 6.558
_cell_angle_alpha 93.67
_cell_angle_beta 93.67
_cell_angle_gamma 81.79
_space_group_name_H-M_alt 'P 1'
_space_group_IT_number 1
loop_
_space_group_symop_operation_xyz
'x,y,z'
loop_
_atom_site_label
_atom_site_type_symbol
_atom_site_fract_x
_atom_site_fract_y
_atom_site_fract_z
La1 La 0.000 0.000 0.000
La2 La 0.175 0.825 0.500
La3 La 0.825 0.175 0.500
Nd1 Nd 0.084 0.430 0.238
Nd2 Nd 0.238 0.238 0.713
Nd3 Nd 0.430 0.084 0.238
Nd4 Nd 0.500 0.500 0.500
Nd5 Nd 0.570 0.916 0.762
Nd6 Nd 0.762 0.762 0.287
Nd7 Nd 0.916 0.570 0.762
Sm1 Sm 0.500 0.500 0.000
```


*Q*
First-principles (PBE-GGA) data for a relaxed La3Nd7Sm crystal, as listed in Alexandria.

size of the total moment = 0.00 μB per formula unit

CIF file:
```
data_La3Nd7Sm
_chemical_formula_sum 'La3 Nd7 Sm1'
_cell_length_a 8.701
_cell_length_b 8.701
_cell_length_c 8.701
_cell_angle_alpha 139.39
_cell_angle_beta 97.29
_cell_angle_gamma 96.54
_space_group_name_H-M_alt 'P 1'
_space_group_IT_number 1
loop_
_space_group_symop_operation_xyz
'x,y,z'
loop_
_atom_site_label
_atom_site_type_symbol
_atom_site_fract_x
_atom_site_fract_y
_atom_site_fract_z
La1 La 0.000 0.000 0.000
La2 La 0.212 0.500 0.712
La3 La 0.788 0.500 0.288
Nd1 Nd 0.001 0.799 0.202
Nd2 Nd 0.208 0.708 0.500
Nd3 Nd 0.403 0.201 0.202
Nd4 Nd 0.500 0.500 0.000
Nd5 Nd 0.597 0.799 0.798
Nd6 Nd 0.792 0.292 0.500
Nd7 Nd 0.999 0.201 0.798
Sm1 Sm 0.500 0.000 0.500
```


Which of them is the least stable? Correct choice: *Q*.


*P*
First-principles (PBE-GGA) data for a relaxed La3Nd5Sm2 crystal, as listed in Alexandria.

size of the total moment = 0.00 μB per formula unit

CIF file:
```
data_La3Nd5Sm2
_chemical_formula_sum 'La6 Nd10 Sm4'
_cell_length_a 9.322
_cell_length_b 9.322
_cell_length_c 10.195
_cell_angle_alpha 109.09
_cell_angle_beta 109.09
_cell_angle_gamma 106.14
_space_group_name_H-M_alt 'P 1'
_space_group_IT_number 1
loop_
_space_group_symop_operation_xyz
'x,y,z'
loop_
_atom_site_label
_atom_site_type_symbol
_atom_site_fract_x
_atom_site_fract_y
_atom_site_fract_z
La1 La 0.026 0.278 0.058
La2 La 0.226 0.774 0.750
La3 La 0.278 0.026 0.558
La4 La 0.722 0.974 0.442
La5 La 0.774 0.226 0.250
La6 La 0.974 0.722 0.942
Nd1 Nd 0.015 0.985 0.750
Nd2 Nd 0.138 0.383 0.766
Nd3 Nd 0.268 0.732 0.250
Nd4 Nd 0.383 0.138 0.266
Nd5 Nd 0.476 0.524 0.250
Nd6 Nd 0.524 0.476 0.750
Nd7 Nd 0.617 0.862 0.734
Nd8 Nd 0.732 0.268 0.750
Nd9 Nd 0.862 0.617 0.234
Nd10 Nd 0.985 0.015 0.250
Sm1 Sm 0.222 0.469 0.448
Sm2 Sm 0.469 0.222 0.948
Sm3 Sm 0.531 0.778 0.052
Sm4 Sm 0.778 0.531 0.552
```


*Q*
First-principles (PBE-GGA) data for a relaxed La3Nd5Sm2 crystal, as listed in Alexandria.

size of the total moment = 0.00 μB per formula unit

CIF file:
```
data_La3Nd5Sm2
_chemical_formula_sum 'La6 Nd10 Sm4'
_cell_length_a 11.215
_cell_length_b 11.215
_cell_length_c 11.215
_cell_angle_alpha 113.14
_cell_angle_beta 77.49
_cell_angle_gamma 145.45
_space_group_name_H-M_alt 'P 1'
_space_group_IT_number 1
loop_
_space_group_symop_operation_xyz
'x,y,z'
loop_
_atom_site_label
_atom_site_type_symbol
_atom_site_fract_x
_atom_site_fract_y
_atom_site_fract_z
La1 La 0.169 0.581 0.751
La2 La 0.250 0.250 0.000
La3 La 0.331 0.081 0.412
La4 La 0.669 0.919 0.588
La5 La 0.750 0.750 0.000
La6 La 0.831 0.419 0.249
Nd1 Nd 0.169 0.241 0.409
Nd2 Nd 0.250 0.501 0.251
Nd3 Nd 0.250 0.750 0.500
Nd4 Nd 0.250 0.999 0.749
Nd5 Nd 0.331 0.741 0.072
Nd6 Nd 0.669 0.259 0.928
Nd7 Nd 0.750 0.001 0.251
Nd8 Nd 0.750 0.250 0.500
Nd9 Nd 0.750 0.499 0.749
Nd10 Nd 0.831 0.759 0.591
Sm1 Sm 0.168 0.908 0.076
Sm2 Sm 0.332 0.408 0.739
Sm3 Sm 0.668 0.592 0.261
Sm4 Sm 0.832 0.092 0.924
```


Which of them is the least stable? Correct choice: *Q*.


*P*
First-principles (PBE-GGA) data for a relaxed LaNd7Sm4 crystal, as listed in Alexandria.

size of the total moment = 0.00 μB per formula unit

CIF file:
```
data_LaNd7Sm4
_chemical_formula_sum 'La1 Nd7 Sm4'
_cell_length_a 6.408
_cell_length_b 7.406
_cell_length_c 9.128
_cell_angle_alpha 89.97
_cell_angle_beta 76.46
_cell_angle_gamma 89.98
_space_group_name_H-M_alt 'P 1'
_space_group_IT_number 1
loop_
_space_group_symop_operation_xyz
'x,y,z'
loop_
_atom_site_label
_atom_site_type_symbol
_atom_site_fract_x
_atom_site_fract_y
_atom_site_fract_z
La1 La 0.000 0.000 0.000
Nd1 Nd 0.000 0.500 0.000
Nd2 Nd 0.223 0.000 0.333
Nd3 Nd 0.278 0.748 0.666
Nd4 Nd 0.500 0.252 0.999
Nd5 Nd 0.500 0.748 0.001
Nd6 Nd 0.722 0.252 0.334
Nd7 Nd 0.777 0.000 0.667
Sm1 Sm 0.220 0.500 0.333
Sm2 Sm 0.278 0.252 0.667
Sm3 Sm 0.722 0.748 0.333
Sm4 Sm 0.780 0.500 0.667
```


*Q*
First-principles (PBE-GGA) data for a relaxed LaNd7Sm4 crystal, as listed in Alexandria.

size of the total moment = 0.00 μB per formula unit

CIF file:
```
data_LaNd7Sm4
_chemical_formula_sum 'La1 Nd7 Sm4'
_cell_length_a 6.851
_cell_length_b 6.851
_cell_length_c 12.968
_cell_angle_alpha 114.70
_cell_angle_beta 114.70
_cell_angle_gamma 53.13
_space_group_name_H-M_alt 'P 1'
_space_group_IT_number 1
loop_
_space_group_symop_operation_xyz
'x,y,z'
loop_
_atom_site_label
_atom_site_type_symbol
_atom_site_fract_x
_atom_site_fract_y
_atom_site_fract_z
La1 La 0.000 0.000 0.000
Nd1 Nd 0.059 0.059 0.330
Nd2 Nd 0.209 0.209 0.920
Nd3 Nd 0.369 0.369 0.498
Nd4 Nd 0.500 0.500 0.000
Nd5 Nd 0.631 0.631 0.502
Nd6 Nd 0.791 0.791 0.080
Nd7 Nd 0.941 0.941 0.670
Sm1 Sm 0.250 0.250 0.682
Sm2 Sm 0.365 0.365 0.224
Sm3 Sm 0.635 0.635 0.776
Sm4 Sm 0.750 0.750 0.318
```


Which of them is the least stable? Correct choice: *Q*.